No. 1
# PBE+U PaNiB2O6, optimized geometry
# **Calculated total energy**: -157.999 eV per cell
data_PaNiB2O6
_cell_length_a 6.748
_cell_length_b 6.748
_cell_length_c 4.535
_cell_angle_alpha 97.51
_cell_angle_beta 97.51
_cell_angle_gamma 91.42
_symmetry_space_group_name_H-M 'P 1'
_symmetry_Int_Tables_number 1
loop_
_symmetry_equiv_pos_as_xyz
'x,y,z'
loop_
_atom_site_label
_atom_site_type_symbol
_atom_site_fract_x
_atom_site_fract_y
_atom_site_fract_z
Pa1 Pa 0.216 0.784 0.750
Pa2 Pa 0.784 0.216 0.250
Ni1 Ni 0.417 0.583 0.250
Ni2 Ni 0.583 0.417 0.750
B1 B 0.138 0.288 0.810
B2 B 0.288 0.138 0.310
B3 B 0.712 0.862 0.690
B4 B 0.862 0.712 0.190
O1 O 0.064 0.671 0.331
O2 O 0.116 0.214 0.105
O3 O 0.214 0.116 0.605
O4 O 0.266 0.469 0.849
O5 O 0.329 0.936 0.169
O6 O 0.469 0.266 0.349
O7 O 0.531 0.734 0.651
O8 O 0.671 0.064 0.831
O9 O 0.734 0.531 0.151
O10 O 0.786 0.884 0.395
O11 O 0.884 0.786 0.895
O12 O 0.936 0.329 0.669


No. 2
# PBE+U NiB2PbO, optimized geometry
# **Calculated total energy**: -17.115 eV per cell
data_NiB2PbO
_cell_length_a 3.743
_cell_length_b 3.743
_cell_length_c 4.984
_cell_angle_alpha 90.00
_cell_angle_beta 90.00
_cell_angle_gamma 90.00
_symmetry_space_group_name_H-M 'P 1'
_symmetry_Int_Tables_number 1
loop_
_symmetry_equiv_pos_as_xyz
'x,y,z'
loop_
_atom_site_label
_atom_site_type_symbol
_atom_site_fract_x
_atom_site_fract_y
_atom_site_fract_z
Ni1 Ni 0.000 0.000 0.000
B1 B 0.000 0.500 0.500
B2 B 0.500 0.000 0.500
Pb1 Pb 0.500 0.500 0.000
O1 O 0.500 0.500 0.500


No. 3
# PBE+U NiBPbO4, optimized geometry
# **Calculated total energy**: -80.710 eV per cell
data_NiBPbO4
_cell_length_a 5.900
_cell_length_b 5.900
_cell_length_c 5.900
_cell_angle_alpha 119.00
_cell_angle_beta 118.90
_cell_angle_gamma 91.82
_symmetry_space_group_name_H-M 'P 1'
_symmetry_Int_Tables_number 1
loop_
_symmetry_equiv_pos_as_xyz
'x,y,z'
loop_
_atom_site_label
_atom_site_type_symbol
_atom_site_fract_x
_atom_site_fract_y
_atom_site_fract_z
Ni1 Ni 0.000 0.000 0.000
Ni2 Ni 0.500 0.000 0.500
B1 B 0.383 0.633 0.750
B2 B 0.617 0.367 0.250
Pb1 Pb 0.000 0.000 0.500
Pb2 Pb 0.000 0.500 0.000
O1 O 0.280 0.311 0.531
O2 O 0.280 0.749 0.969
O3 O 0.294 0.744 0.550
O4 O 0.306 0.256 0.050
O5 O 0.694 0.744 0.950
O6 O 0.706 0.256 0.450
O7 O 0.720 0.251 0.031
O8 O 0.720 0.689 0.469